The following is a PBE calculation of SmZnB after structural relaxation, from Alexandria.

Cell lengths 4.762, 4.762, 6.731 Å; angles 102.31, 102.31, 49.73 degrees
Element x y z (fractional)
Sm  0.100  0.100  0.298
Sm  0.900  0.900  0.702
Zn  0.353  0.353  0.065
Zn  0.647  0.647  0.935
B  0.422  0.422  0.414
B  0.578  0.578  0.586

- total DFT energy (no corrections) (eV per atom) = -4.409
- V (Å³ per cell) = 113.2
- symmetry = No. 12
- energy relative to the elements (eV per atom) = -0.186
- density (g/cm3) = 6.6